1.
CdPd5Pt2 after structural relaxation, computed with PBE-GGA.

* N(E_F): 8.7 states/eV/f.u.
* energy of formation: 0.36 kcal/mol of atoms
* symmetry: I4/mcm, No. 140

```
CdPd5Pt2
1.0
-3.4535 3.4535 5.5600
3.4535 -3.4535 5.5600
3.4535 3.4535 -5.5600
Cd Pd Pt
2 10 4
Direct
0.2500 0.2500 0.0000 Cd
0.7500 0.7500 0.0000 Cd
0.0000 0.0000 0.0000 Pd
0.0131 0.5131 0.2007 Pd
0.1876 0.9869 0.5000 Pd
0.3124 0.8124 0.7993 Pd
0.4869 0.6876 0.5000 Pd
0.5000 0.5000 0.0000 Pd
0.5131 0.3124 0.5000 Pd
0.6876 0.1876 0.2007 Pd
0.8124 0.0131 0.5000 Pd
0.9869 0.4869 0.7993 Pd
0.1427 0.3573 0.5000 Pt
0.3573 0.8573 0.2146 Pt
0.6427 0.1427 0.7854 Pt
0.8573 0.6427 0.5000 Pt
```



2.
DyAl12Pt4 after structural relaxation, computed with PBE-GGA.

* N(E_F): 13.7 states/eV/f.u.
* energy of formation: -8.13 kcal/mol of atoms
* symmetry: Im-3, No. 204

```
DyAl12Pt4
1.0
-4.3905 4.3905 4.3905
4.3905 -4.3905 4.3905
4.3905 4.3905 -4.3905
Dy Al Pt
1 12 4
Direct
0.0000 0.0000 0.0000 Dy
0.1581 0.3408 0.4989 Al
0.1581 0.6592 0.8173 Al
0.1827 0.8419 0.3408 Al
0.3408 0.1827 0.8419 Al
0.3408 0.4989 0.1581 Al
0.4989 0.1581 0.3408 Al
0.5011 0.8419 0.6592 Al
0.6592 0.5011 0.8419 Al
0.6592 0.8173 0.1581 Al
0.8173 0.1581 0.6592 Al
0.8419 0.3408 0.1827 Al
0.8419 0.6592 0.5011 Al
0.0000 0.0000 0.5000 Pt
0.0000 0.5000 0.0000 Pt
0.5000 0.0000 0.0000 Pt
0.5000 0.5000 0.5000 Pt
```



3.
Zr2BeTe after structural relaxation, computed with PBE-GGA.

* N(E_F): 1.5 states/eV/f.u.
* symmetry: R-3m, No. 166
* formation energy without anion corrections: -0.37 eV/atom

```
Zr2BeTe
1.0
1.8738 1.0818 6.8586
-1.8738 1.0818 6.8586
0.0000 -2.1637 6.8586
Zr Be Te
2 1 1
Direct
0.2349 0.2349 0.2349 Zr
0.7651 0.7651 0.7651 Zr
0.5000 0.5000 0.5000 Be
0.0000 0.0000 0.0000 Te
```



4.
Li4Co5 after structural relaxation, computed with PBE-GGA.

* N(E_F): 8.3 states/eV/f.u.
* energy of formation: 6.66 kcal/mol of atoms
* symmetry: P6_3/mcm, No. 193

```
Li4Co5
1.0
7.1626 0.0000 0.0000
-3.5813 6.2030 0.0000
0.0000 0.0000 4.7945
Li Co
8 10
Direct
0.0000 0.0000 0.0000 Li
0.0000 0.0000 0.5000 Li
0.0000 0.2879 0.2500 Li
0.0000 0.7121 0.7500 Li
0.2879 0.0000 0.2500 Li
0.2879 0.2879 0.7500 Li
0.7121 0.0000 0.7500 Li
0.7121 0.7121 0.2500 Li
0.0000 0.4020 0.7500 Co
0.0000 0.5980 0.2500 Co
0.3333 0.6667 0.0000 Co
0.3333 0.6667 0.5000 Co
0.4020 0.0000 0.7500 Co
0.4020 0.4020 0.2500 Co
0.5980 0.0000 0.2500 Co
0.5980 0.5980 0.7500 Co
0.6667 0.3333 0.0000 Co
0.6667 0.3333 0.5000 Co
```